First-principles (PBE) data for a geometry-optimized Ni2W8C3N3 structure, as listed in OQMD via LeMat-Bulk.

Unit cell a=3.069 b=3.069 c=22.675 alpha=90.00 beta=90.00 gamma=120.00
Element x y z (fractional)
Ni 0.333 0.667 0.252
Ni 0.667 0.333 0.748
W 0.000 0.000 0.162
W 0.000 0.000 0.335
W 0.000 0.000 0.665
W 0.000 0.000 0.838
W 0.333 0.667 0.060
W 0.333 0.667 0.443
W 0.667 0.333 0.557
W 0.667 0.333 0.940
C 0.000 0.000 0.000
C 0.333 0.667 0.885
C 0.667 0.333 0.115
N 0.000 0.000 0.500
N 0.333 0.667 0.612
N 0.667 0.333 0.388

Output
total DFT energy (no corrections)	-10.177	eV per atom